DFT (PBE) results for Sc2GeTeMo after structural relaxation.

Structure (POSCAR):
```
Sc2GeTeMo
1.0
-3.793 -0.579 3.375
-1.782 -3.863 -2.666
2.904 -3.212 2.713
Te Sc Ge Mo
1 2 1 1
Cartesian
-0.891 -1.932 -1.333
-1.897 -0.289 1.687
1.452 -1.606 1.357
-1.336 -3.827 1.711
0.000 0.000 0.000
```

Results
- ΔE_f (raw) (eV/atom) = 0.404
- magnetization (μB/f.u.) = 0.0
- Fermi-level density of states (states/eV/atom) = 0.72
- calculated total energy (eV/atom) = -5.847